(1)
# PaCdIr4, optimized geometry, DFT GGA-PBE
data_PaCdIr4
_cell_length_a 7.524
_cell_length_b 7.524
_cell_length_c 7.524
_cell_angle_alpha 90.00
_cell_angle_beta 90.00
_cell_angle_gamma 90.00
_space_group_name_H-M_alt 'F -4 3 m'
_space_group_IT_number 216
_space_group_name_Hall 'F -4 2 3'
loop_
_atom_site_label
_atom_site_type_symbol
_atom_site_fract_x
_atom_site_fract_y
_atom_site_fract_z
Pa1 Pa 0.000 0.000 0.000
Cd1 Cd 0.250 0.250 0.750
Ir1 Ir 0.124 0.124 0.376
# Energy of formation, meV/atom: -451



(2)
# Rb4UBr7, optimized geometry, DFT GGA-PBE
data_Rb4UBr7
_cell_length_a 25.882
_cell_length_b 5.743
_cell_length_c 7.806
_cell_angle_alpha 90.00
_cell_angle_beta 107.32
_cell_angle_gamma 90.00
_space_group_name_H-M_alt 'C 1 2/m 1'
_space_group_IT_number 12
_space_group_name_Hall '-C 2y'
loop_
_atom_site_label
_atom_site_type_symbol
_atom_site_fract_x
_atom_site_fract_y
_atom_site_fract_z
Rb1 Rb 0.088 0.000 0.152
Rb2 Rb 0.210 0.000 0.731
U1 U 0.000 0.500 0.500
Br1 Br 0.000 0.000 0.500
Br2 Br 0.056 0.500 0.878
Br3 Br 0.106 0.500 0.440
Br4 Br 0.218 0.000 0.193
# Raw formation energy, meV/atom: -1550.2



(3)
# Ac3Th3MoN8, optimized geometry, DFT GGA-PBE
data_Ac3Th3MoN8
_cell_length_a 7.1781
_cell_length_b 7.1781
_cell_length_c 18.4078
_cell_angle_alpha 90.00
_cell_angle_beta 90.00
_cell_angle_gamma 120.00
_space_group_name_H-M_alt 'R -3 m'
_space_group_IT_number 166
_space_group_name_Hall '-R 3 2"'
loop_
_atom_site_label
_atom_site_type_symbol
_atom_site_fract_x
_atom_site_fract_y
_atom_site_fract_z
Ac1 Ac 0.0000 0.5000 0.0000
Th1 Th 0.0000 0.5000 0.5000
Mo1 Mo 0.0000 0.0000 0.5000
N1 N 0.0000 0.0000 0.2389
N2 N 0.0411 0.5205 0.2305
# Raw formation energy, meV/atom: -1096.1